Below is a geometry-optimized PbS2NCl structure, with properties calculated at the PBE level.

The space group is P4/mmm (No. 123) and the conventional cell measures 5.664, 5.664 and 4.577 Å, with angles of 90.00, 90.00 and 90.00 degrees. The asymmetric unit holds Pb at (0.000, 0.000, 0.000), S at (0.000, 0.500, 0.500), N at (0.500, 0.500, 0.000) and Cl at (0.500, 0.500, 0.500).

For the energy above the most stable polymorph in this dataset, the calculation gives 704 meV per atom. The calculation puts the calculated total energy at -2.970 eV per atom. As for the energy relative to the elements, uncorrected: 1.457 eV/atom.

***

Below is a geometry-optimized KPuCu2O8 structure, with properties calculated at the PBE level.

The space group is I-4m2 (No. 119) and the conventional cell measures 6.561, 6.561 and 7.974 Å, with angles of 90.00, 90.00 and 90.00 degrees. The asymmetric unit holds K at (0.000, 0.000, 0.000), Pu at (0.000, 0.500, 0.250), Cu at (0.000, 0.000, 0.500), Cu at (0.000, 0.500, 0.750), O at (0.000, 0.209, 0.306) and O at (0.000, 0.388, 0.972).

The calculation puts the calculated total energy at -6.226 eV per atom. As for the energy relative to the elements, uncorrected: -0.952 eV/atom.

***

Below is a geometry-optimized LiB2H structure, with properties calculated at the PBE level.

The space group is P1 (No. 1) and the conventional cell measures 2.961, 4.456 and 4.869 Å, with angles of 97.18, 101.21 and 109.03 degrees. The asymmetric unit holds Li at (0.000, 0.000, 0.000), Li at (0.415, 0.398, 0.662), B at (0.016, 0.756, 0.418), B at (0.369, 0.586, 0.220), B at (0.626, 0.013, 0.357), B at (0.752, 0.368, 0.211), H at (0.111, 0.751, 0.682) and H at (0.761, 0.126, 0.621).

For the energy above the most stable polymorph in this dataset, the calculation gives 128 meV per atom. The calculation puts the calculated total energy at -4.716 eV per atom.

***

Below is a geometry-optimized TlCoCl3 structure, with properties calculated at the PBE level.

The space group is P2_1/c (No. 14) and the conventional cell measures 8.317, 7.029 and 12.117 Å, with angles of 90.00, 109.84 and 90.00 degrees. The asymmetric unit holds Tl at (0.151, 0.205, 0.143), Co at (0.320, 0.597, 0.961), Cl at (0.085, 0.080, 0.381), Cl at (0.241, 0.604, 0.465) and Cl at (0.493, 0.028, 0.638).

The calculation puts the calculated total energy at -3.756 eV per atom. As for the energy relative to the elements, uncorrected: -0.754 eV/atom.

***

Below is a geometry-optimized KY2Cl structure, with properties calculated at the PBE level.

The space group is P4/mmm (No. 123) and the conventional cell measures 4.539, 4.539 and 7.393 Å, with angles of 90.00, 90.00 and 90.00 degrees. The asymmetric unit holds K at (0.000, 0.000, 0.000), Y at (0.000, 0.500, 0.500) and Cl at (0.500, 0.500, 0.000).

For the energy above the most stable polymorph in this dataset, the calculation gives 548 meV per atom. The calculation puts the calculated total energy at -4.066 eV per atom. As for the energy relative to the elements, uncorrected: -0.098 eV/atom.

***

Below is a geometry-optimized Pr4BiSbSe2 structure, with properties calculated at the PBE level.

The space group is P2/m (No. 10) and the conventional cell measures 7.666, 4.450 and 7.701 Å, with angles of 90.00, 109.64 and 90.00 degrees. The asymmetric unit holds Pr at (0.234, 0.000, 0.240), Pr at (0.237, 0.500, 0.750), Bi at (0.500, 0.500, 0.500), Sb at (0.500, 0.000, 0.000), Se at (0.000, 0.000, 0.500) and Se at (0.000, 0.500, 0.000).

The calculation puts the calculated total energy at -5.715 eV per atom. As for the energy relative to the elements, uncorrected: -1.453 eV/atom.